Record 1
Here is crystalline MnNiW2 at its relaxed geometry from the Alexandria database. Energies are from PBE. Values from VASP.

Quantum ESPRESSO input file:
```
&SYSTEM
  ibrav = 0, nat = 4, ntyp = 3
/
ATOMIC_SPECIES
Mn 54.94 Mn.upf
Ni 58.69 Ni.upf
W 183.84 W.upf
CELL_PARAMETERS angstrom
-1.927 1.927 3.637
1.927 -1.927 3.637
1.927 1.927 -3.637
ATOMIC_POSITIONS crystal
Mn 0.000 0.000 0.000
Ni 0.500 0.500 0.000
W 0.250 0.750 0.500
W 0.750 0.250 0.500
```

Values from the calculation:
The energy relative to the lowest polymorph listed for this composition comes out at 4 meV per atom. Its symmetry is No. 139. The magnetization is 0.00 μB per formula unit. Its crystal system is tetragonal.

Record 2
Here is crystalline MnNiW2 at its relaxed geometry from the Alexandria database. Energies are from PBE. Values from VASP.

Quantum ESPRESSO input file:
```
&SYSTEM
  ibrav = 0, nat = 4, ntyp = 3
/
ATOMIC_SPECIES
Mn 54.94 Mn.upf
Ni 58.69 Ni.upf
W 183.84 W.upf
CELL_PARAMETERS angstrom
1.702 -2.042 0.000
1.702 2.042 0.000
0.000 0.000 7.940
ATOMIC_POSITIONS crystal
Mn 0.000 0.000 0.000
Ni 0.000 0.000 0.500
W 0.500 0.500 0.252
W 0.500 0.500 0.748
```

Values from the calculation:
The energy relative to the lowest polymorph listed for this composition comes out at 32 meV per atom. Its symmetry is No. 65. The magnetization is 1.52 μB per formula unit. Its crystal system is orthorhombic.